Here is crystalline LuTcNiGe at its relaxed geometry from the Open Quantum Materials Database. Energies are from GGA-PBE.

Output
relative energy among the computed polymorphs: 449 meV/atom
total DFT energy (no corrections): -96.608 eV for the cell shown

```
data_LuTcNiGe
_space_group_name_H-M_alt 'F -4 3 m'
_space_group_IT_number 216
_space_group_name_Hall 'F -4 2 3'
_cell_length_a 6.4218
_cell_length_b 6.4218
_cell_length_c 6.4218
_cell_angle_alpha 90.00
_cell_angle_beta 90.00
_cell_angle_gamma 90.00
loop_
_atom_site_label
_atom_site_type_symbol
_atom_site_fract_x
_atom_site_fract_y
_atom_site_fract_z
Lu1 Lu 0.0000 0.0000 0.0000
Tc1 Tc 0.2500 0.2500 0.7500
Ni1 Ni 0.0000 0.0000 0.5000
Ge1 Ge 0.2500 0.2500 0.2500
```